## Pr2Al3Ge (SCAN)

Data for Pr2Al3Ge at its PBEsol-relaxed geometry.

Values from the calculation:
calculated formation energy	-651	meV/atom
symmetry	Pmm2 (25)
magnetic moment	0.00	Bohr magnetons per cell

Cell: 4.175 4.346 7.519 Å, 90.00 90.00 90.00°
Atoms (fractional coordinates):
Pr: 0.000 0.000 0.494
Pr: 0.000 0.500 0.007
Al: 0.500 0.500 0.665
Al: 0.500 0.000 0.167
Al: 0.500 0.000 0.832
Ge: 0.500 0.500 0.335